VASP calculation (GGA-PBE) on a relaxed Zr3GaSe3 crystal.

Lattice parameters (Å, degrees): 9.416 9.416 9.416 109.49 109.50 109.49
Fractional positions:
Se1 0.492 0.746 0.996
Se2 0.254 0.508 0.504
Se3 0.004 0.250 0.996
Se4 0.246 0.996 0.992
Se5 0.750 0.754 0.746
Se6 0.008 0.504 0.754
Se7 0.246 0.250 0.754
Se8 0.004 0.754 0.508
Se9 0.254 0.746 0.250
Se10 0.750 0.996 0.504
Se11 0.496 0.504 0.250
Se12 0.496 0.992 0.746
Zr1 0.999 0.249 0.498
Zr2 0.751 0.001 0.002
Zr3 0.749 0.498 0.499
Zr4 0.502 0.251 0.001
Zr5 0.501 0.499 0.750
Zr6 0.749 0.251 0.750
Zr7 0.250 0.001 0.499
Zr8 0.999 0.750 0.001
Zr9 0.998 0.499 0.249
Zr10 0.501 0.002 0.251
Zr11 0.250 0.249 0.251
Zr12 0.751 0.750 0.249
Ga1 0.750 0.250 0.250
Ga2 0.500 0.250 0.500
Ga3 0.750 0.500 0.000
Ga4 0.000 0.000 0.250

## Properties
The space group is R32 (155). The value obtained for the uncorrected formation energy is -1098 meV per atom.